(1)
MnBeBBr2, optimized geometry, DFT PBE; space group = P4/mmm; energy relative to the elements, uncorrected = 0.966 eV/atom; V = 103.3 Å³ per cell
1.0
5.1469 0.0000 0.0000
0.0000 5.1469 0.0000
0.0000 0.0000 3.9007
Mn Be B Br
1 1 1 2
direct
0.0000 0.0000 0.0000
0.5000 0.5000 0.5000
0.0000 0.0000 0.5000
0.0000 0.5000 0.0000
0.5000 0.0000 0.0000

(2)
CaTc2Se, optimized geometry, DFT PBE; space group = P4mm; energy relative to the elements, uncorrected = -0.002 eV/atom; V = 74.3 Å³ per cell
1.0
3.1353 0.0000 0.0000
0.0000 3.1353 0.0000
0.0000 0.0000 7.5566
Ca Tc Se
1 2 1
direct
0.0000 0.0000 0.0000
0.0000 0.0000 0.5218
0.5000 0.5000 0.7007
0.5000 0.5000 0.2890

(3)
Hf2Ni12P7, optimized geometry, DFT PBE; space group = P-6; energy of formation = -0.71 eV/atom; V = 250.8 Å³ per cell
1.0
8.9990 0.0000 0.0000
-4.4995 7.7934 0.0000
0.0000 0.0000 3.5756
Hf Ni P
2 12 7
direct
0.0000 0.0000 0.0000
0.3333 0.6667 0.5000
0.0546 0.7696 0.5000
0.1023 0.3964 0.0000
0.2304 0.2849 0.5000
0.2941 0.8977 0.0000
0.3891 0.2137 0.0000
0.5379 0.1138 0.5000
0.5759 0.4621 0.5000
0.6036 0.7059 0.0000
0.7151 0.9454 0.5000
0.7863 0.1754 0.0000
0.8246 0.6109 0.0000
0.8862 0.4241 0.5000
0.0800 0.6265 0.0000
0.2543 0.0424 0.5000
0.3735 0.4534 0.0000
0.5466 0.9200 0.0000
0.6667 0.3333 0.0000
0.7881 0.7457 0.5000
0.9576 0.2119 0.5000

(4)
Cs2K6TlPd, optimized geometry, DFT PBE; space group = Immm; energy of formation = 0.02 eV/atom; V = 633.0 Å³ per cell
1.0
-4.8150 4.8243 6.8127
4.8150 -4.8243 6.8127
4.8150 4.8243 -6.8127
Cs K Tl Pd
2 6 1 1
direct
0.2501 0.2501 0.0000
0.7499 0.7499 0.0000
0.2633 0.2367 0.5000
0.2633 0.7633 0.0267
0.2631 0.7631 0.5000
0.7369 0.2369 0.5000
0.7367 0.2367 0.9733
0.7367 0.7633 0.5000
0.0000 0.5000 0.5000
0.5000 0.0000 0.5000

| no. | D(E_F) (states/eV per atom) | magnetic moment (Bohr magnetons per cell) |
| --- | --- | --- |
| 1 | 0.69 | 3.20 |
| 2 | 1.01 | 0.00 |
| 3 | 0.55 | 0.00 |
| 4 | 0.55 | 0.00 |